w.
# PBE TiCu3S, relaxed
data_TiCu3S
_chemical_formula_sum 'Ti1 Cu3 S1'
_cell_length_a 4.6617
_cell_length_b 4.6617
_cell_length_c 4.6617
_cell_angle_alpha 90.00
_cell_angle_beta 90.00
_cell_angle_gamma 90.00
_space_group_name_H-M_alt 'P m -3 m'
_space_group_IT_number 221
_space_group_name_Hall '-P 4 2 3'
loop_
_atom_site_label
_atom_site_type_symbol
_atom_site_fract_x
_atom_site_fract_y
_atom_site_fract_z
_atom_site_occupancy
Ti1 Ti 0.0000 0.0000 0.0000 1
Cu1 Cu 0.0000 0.0000 0.5000 1
S1 S 0.5000 0.5000 0.5000 1
# Crystal system = cubic

=====

x.
# PBE TiCu3S, relaxed
data_TiCu3S
_chemical_formula_sum 'Ti1 Cu3 S1'
_cell_length_a 4.3164
_cell_length_b 4.3164
_cell_length_c 4.3164
_cell_angle_alpha 90.00
_cell_angle_beta 90.00
_cell_angle_gamma 90.00
_space_group_name_H-M_alt 'P m -3 m'
_space_group_IT_number 221
_space_group_name_Hall '-P 4 2 3'
loop_
_atom_site_label
_atom_site_type_symbol
_atom_site_fract_x
_atom_site_fract_y
_atom_site_fract_z
_atom_site_occupancy
Ti1 Ti 0.0000 0.0000 0.0000 1
Cu1 Cu 0.0000 0.5000 0.5000 1
S1 S 0.5000 0.5000 0.5000 1
# Crystal system = cubic

=====

x comes first in stability; the runner-up is 84.3 kJ/mol of atoms higher.